Entry 1:
Computed, not measured: CeAgPO5 after structural relaxation at the PBE level of DFT.

```
16
Lattice="3.935 -4.462 0.000 3.935 4.462 0.000 -3.813 0.000 7.244" Properties=species:S:1:pos:R:3 pbc="T T T"
Ce 0.000 0.000 0.000
Ce -1.906 0.000 3.622
Ag 1.075 1.586 5.433
Ag 2.982 -1.586 1.811
P 2.982 1.432 1.811
P 1.075 -1.432 5.433
O 1.075 3.756 5.433
O 2.121 2.320 2.745
O 2.066 0.482 0.973
O 3.842 2.320 0.877
O 0.160 -0.482 4.595
O 3.897 0.482 2.649
O 0.215 -2.320 6.367
O 1.991 -0.482 6.271
O 1.936 -2.320 4.499
O 2.982 -3.756 1.811
```

Results
V   254.4 Å³/cell
SG   C2/c (15)
Formation energy without anion corrections   -223.1 kJ/mol of atoms



Entry 2:
Computed, not measured: CePa2AgO8 after structural relaxation at the PBE level of DFT.

```
12
Lattice="-2.724 2.724 5.409 2.724 -2.724 5.409 2.724 2.724 -5.409" Properties=species:S:1:pos:R:3 pbc="T T T"
Ce 0.000 0.000 0.000
Pa 2.724 0.000 2.704
Pa 0.000 0.000 5.409
Ag 0.000 2.724 2.704
O 1.318 1.456 -1.313
O 1.406 -1.268 4.096
O 1.456 1.318 1.313
O 3.992 1.318 1.313
O 1.318 3.992 -1.313
O 1.406 1.268 4.096
O -1.268 1.406 6.722
O 1.268 1.406 6.722
```

Results
V   160.6 Å³/cell
SG   I-4m2 (119)
Formation energy without anion corrections   -281.9 kJ/mol of atoms
Density of states at the Fermi level   0.5601 states/eV/atom



Entry 3:
Computed, not measured: CePaAgO6 after structural relaxation at the PBE level of DFT.

```
9
Lattice="5.568 0.000 0.000 -2.784 4.822 0.000 0.000 0.000 4.982" Properties=species:S:1:pos:R:3 pbc="T T T"
Ce 0.000 0.000 0.000
Pa 0.000 3.215 2.491
Ag 2.784 1.607 0.000
O -0.903 1.670 1.230
O -1.789 3.205 3.752
O 0.903 1.670 3.752
O -0.886 4.769 1.230
O 1.789 3.205 1.230
O 0.886 4.769 3.752
```

Results
V   133.8 Å³/cell
SG   P312 (149)
Formation energy without anion corrections   -227.4 kJ/mol of atoms
Density of states at the Fermi level   0.3766 states/eV/atom



Entry 4:
Computed, not measured: CePaAg2O6 after structural relaxation at the PBE level of DFT.

```
10
Lattice="5.042 -3.137 0.000 5.042 3.137 0.000 -3.323 0.000 4.755" Properties=species:S:1:pos:R:3 pbc="T T T"
Ce 0.000 0.000 0.000
Pa 3.381 0.000 2.378
Ag -0.122 0.000 3.760
Ag 6.884 0.000 0.995
O 3.680 1.552 0.851
O 1.261 0.000 1.919
O 3.081 1.552 3.904
O 3.680 -1.552 0.851
O 5.500 0.000 2.837
O 3.081 -1.552 3.904
```

Results
V   150.4 Å³/cell
SG   C2/m (12)
Formation energy without anion corrections   -211.0 kJ/mol of atoms
Density of states at the Fermi level   0.9467 states/eV/atom



Entry 5:
Computed, not measured: CeAgPbO after structural relaxation at the PBE level of DFT.

```
4
Lattice="-1.707 1.707 7.549 1.707 -1.707 7.549 1.707 1.707 -7.549" Properties=species:S:1:pos:R:3 pbc="T T T"
Ce 0.000 0.000 0.000
Ag 0.000 0.000 10.109
Pb 0.000 0.000 4.409
O 0.000 0.000 7.646
```

Results
V   88.0 Å³/cell
SG   I4mm (107)
Formation energy without anion corrections   -115.1 kJ/mol of atoms
Density of states at the Fermi level   1.4197 states/eV/atom



Entry 6:
Computed, not measured: CePuAg2O6 after structural relaxation at the PBE level of DFT.

```
10
Lattice="6.169 0.000 0.000 0.000 6.169 0.000 0.000 0.000 4.255" Properties=species:S:1:pos:R:3 pbc="T T T"
Ce 0.000 0.000 0.000
Pu 3.085 3.085 0.148
Ag 0.000 3.085 1.469
Ag 3.085 0.000 1.469
O 0.000 0.000 2.159
O 1.631 1.631 0.200
O 1.631 4.538 0.200
O 3.085 3.085 2.281
O 4.538 1.631 0.200
O 4.538 4.538 0.200
```

Results
V   161.9 Å³/cell
SG   P4mm (99)
Formation energy without anion corrections   -184.2 kJ/mol of atoms
Density of states at the Fermi level   0.3339 states/eV/atom



Entry 7:
Computed, not measured: Rb3Ce3AgO8 after structural relaxation at the PBE level of DFT.

```
15
Lattice="3.582 2.068 6.508 -3.582 2.068 6.508 0.000 -4.136 6.508" Properties=species:S:1:pos:R:3 pbc="T T T"
Rb -1.791 -1.034 6.508
Rb -1.791 1.034 13.016
Rb 0.000 2.068 6.508
Ce -3.582 0.000 9.762
Ce -1.791 1.034 3.254
Ce 1.791 1.034 3.254
Ag 0.000 0.000 9.762
O -1.984 -1.146 10.864
O 0.000 0.000 4.437
O 0.000 -2.291 8.659
O -1.984 1.146 8.659
O 1.984 -1.146 10.864
O 0.000 2.291 10.864
O 0.000 0.000 15.087
O 1.984 1.146 8.659
```

Results
V   289.2 Å³/cell
SG   R-3m (166)
Formation energy without anion corrections   -229.7 kJ/mol of atoms



Entry 8:
Computed, not measured: CeAgS2O8 after structural relaxation at the PBE level of DFT.

```
12
Lattice="4.494 -2.891 0.000 4.494 2.891 0.000 -1.115 0.000 7.903" Properties=species:S:1:pos:R:3 pbc="T T T"
Ce 0.000 0.000 0.000
Ag -0.557 0.000 3.951
S 2.140 0.000 6.032
S 5.732 0.000 1.870
O 2.998 1.215 6.217
O 1.105 0.000 7.119
O 1.537 0.000 4.698
O 4.875 1.215 1.685
O 2.998 -1.215 6.217
O 6.335 0.000 3.205
O 6.767 0.000 0.783
O 4.875 -1.215 1.685
```

Results
V   205.3 Å³/cell
SG   C2/m (12)
Formation energy without anion corrections   -164.2 kJ/mol of atoms
Density of states at the Fermi level   0.7402 states/eV/atom